(1)
## K3V5S10 (PBE)

Data for an optimized crystal structure of K3V5S10.

Lattice parameters (Å, degrees): 5.794 8.733 8.874 63.54 71.08 77.28
Space group P1 (No. 1)
Inequivalent atoms, fractional coordinates:
K 0.000 0.000 0.000
K 0.193 0.982 0.372
K 0.637 0.975 0.738
V 0.121 0.486 0.179
V 0.334 0.482 0.730
V 0.515 0.484 0.369
V 0.690 0.488 0.005
V 0.907 0.483 0.558
S 0.074 0.321 0.032
S 0.158 0.671 0.294
S 0.267 0.293 0.638
S 0.354 0.655 0.894
S 0.473 0.293 0.255
S 0.565 0.676 0.483
S 0.662 0.314 0.843
S 0.753 0.676 0.098
S 0.873 0.297 0.442
S 0.955 0.649 0.705

Raw formation energy ... -1.04 eV/atom
Total DFT energy (no corrections) ... -6.051 eV per atom

---

(2)
## SiAg2O (PBE)

Data for an optimized crystal structure of SiAg2O.

Lattice parameters (Å, degrees): 6.781 6.781 5.306 90.00 90.00 90.00
Space group I-42d (No. 122)
Inequivalent atoms, fractional coordinates:
Si 0.000 0.000 0.000
Ag 0.212 0.250 0.625
O 0.000 0.000 0.500

Raw formation energy ... 0.22 eV/atom
Total DFT energy (no corrections) ... -3.801 eV per atom
Energy relative to the lowest polymorph listed for this composition ... 0 meV/atom

---

(3)
## HgSbTe2 (PBE)

Data for an optimized crystal structure of HgSbTe2.

Lattice parameters (Å, degrees): 3.778 5.167 5.713 90.00 90.00 90.00
Space group Pmmm (No. 47)
Inequivalent atoms, fractional coordinates:
Hg 0.000 0.000 0.000
Sb 0.500 0.500 0.000
Te 0.000 0.500 0.500
Te 0.500 0.000 0.500

Raw formation energy ... 0.23 eV/atom
Total DFT energy (no corrections) ... -2.447 eV per atom
Energy relative to the lowest polymorph listed for this composition ... 310 meV/atom

---

(4)
## AcPuCdHg (PBE)

Data for an optimized crystal structure of AcPuCdHg.

Lattice parameters (Å, degrees): 7.873 7.873 7.873 90.00 90.00 90.00
Space group F-43m (No. 216)
Inequivalent atoms, fractional coordinates:
Ac 0.000 0.000 0.000
Pu 0.000 0.000 0.500
Cd 0.250 0.250 0.250
Hg 0.250 0.250 0.750

ΔH_f (0 K) ... -0.169 eV per atom
Total DFT energy (no corrections) ... -5.083 eV per atom

---

Q: Which formula does entry 3 have?
A: HgSbTe2

---

Q: Look up the total DFT energy (no corrections) of the third one.
A: -2.447 eV per atom

---

Q: Which of these has the highest total DFT energy (no corrections)?
A: HgSbTe2